The following is a PBE calculation of a relaxed structure of AcTb2Zn2Sn2, from Alexandria.

Unit cell a=4.7253 b=4.7253 c=10.1570 alpha=76.55 beta=76.55 gamma=60.00
With the nearest neighbours (Å) after each atom.
Positions (direct):
Ac  0.0000  0.0000  0.0000  6 Sn 3.48, 6 Zn 3.87
Sn  0.7401  0.7401  0.7798  3 Zn 2.79
Sn  0.2599  0.2599  0.2202  3 Zn 2.79
Zn  0.5733  0.5733  0.2800  3 Sn 2.79, 3 Tb 2.97
Zn  0.4267  0.4267  0.7200  3 Sn 2.79, 3 Tb 2.97
Tb  0.8663  0.8663  0.4012  3 Zn 2.97, 3 Sn 3.25
Tb  0.1337  0.1337  0.5988  3 Zn 2.97, 3 Sn 3.25

Energy relative to the elements in eV per formula unit: -2.53
Electronic total energy in hartree per atom: -0.13886
Density in g/cm³: 8.01